DFT (PBE) results for a relaxed structure of HgSeCl2.

a b c (Å): 10.225 10.225 7.722
angles (deg): 48.54 48.54 90.00
Positions (direct):
Cl  0.374  0.125  0.250
Cl  0.376  0.625  0.250
Cl  0.875  0.624  0.750
Cl  0.375  0.626  0.750
Se  0.500  0.500  0.000
Se  0.250  0.750  0.500
Hg  0.750  0.250  0.500
Hg  0.000  0.000  0.000

## Properties
Volume   283.53 Å³/cell
Total magnetic moment   0.00 μB/f.u.
E_form (uncorrected)   -0.0635 eV/atom
Energy above the most stable polymorph in this dataset   217 meV per atom
N(E_F)   0.334 states/eV/atom
Calculated total energy   -15.5 eV/cell

---

DFT (PBE) results for a relaxed structure of Rb3GeAu.

a b c (Å): 6.500 6.500 6.500
angles (deg): 90.00 90.00 90.00
Positions (direct):
Rb  0.500  0.000  0.000
Rb  0.000  0.500  0.000
Rb  0.000  0.000  0.500
Ge  0.500  0.500  0.500
Au  0.000  0.000  0.000

## Properties
Volume   274.67 Å³/cell
Energy of formation from the pure elements   0.188 eV/atom
Total magnetic moment   2.00 μB/f.u.
Energy above the most stable polymorph in this dataset   249 meV per atom
N(E_F)   0.958 states/eV/atom
Calculated total energy   -9.9 eV/cell

---

DFT (PBE) results for a relaxed structure of HRhI4.

a b c (Å): 6.985 9.176 10.130
angles (deg): 102.46 91.91 133.45
Positions (direct):
I  0.733  0.614  0.694
I  0.462  0.080  0.694
I  0.674  0.267  0.095
I  0.078  0.172  0.905
I  0.538  0.920  0.306
I  0.326  0.733  0.905
I  0.922  0.828  0.095
I  0.267  0.386  0.306
H  0.393  0.643  0.287
H  0.607  0.357  0.713
Rh  0.199  0.949  0.898
Rh  0.801  0.051  0.102

## Properties
Volume   444.82 Å³/cell
Total magnetic moment   0.00 μB/f.u.
Calculated total energy   -35.5 eV/cell

---

DFT (PBE) results for a relaxed structure of Hf2BeGa.

a b c (Å): 4.580 4.580 4.580
angles (deg): 60.00 60.00 60.00
Positions (direct):
Hf  0.250  0.250  0.250
Hf  0.750  0.750  0.750
Ga  0.500  0.500  0.500
Be  0.000  0.000  0.000

## Properties
Volume   67.95 Å³/cell
Energy of formation from the pure elements   -0.141 eV/atom
Total magnetic moment   0.00 μB/f.u.
Energy above the most stable polymorph in this dataset   187 meV per atom
N(E_F)   0.959 states/eV/atom
Calculated total energy   -27.2 eV/cell

---

DFT (PBE) results for a relaxed structure of GdPuMnGa.

a b c (Å): 5.081 5.081 5.081
angles (deg): 60.00 60.00 60.00
Positions (direct):
Gd  0.500  0.500  0.500
Ga  0.250  0.250  0.250
Mn  0.750  0.750  0.750
Pu  0.000  0.000  0.000

## Properties
Volume   92.78 Å³/cell
Energy of formation from the pure elements   0.118 eV/atom
Total magnetic moment   16.28 μB/f.u.
N(E_F)   2.984 states/eV/atom
Calculated total energy   -40.1 eV/cell

---

DFT (PBE) results for a relaxed structure of Ti2CdF11.

a b c (Å): 8.952 8.082 8.082
angles (deg): 65.59 56.37 56.37
Positions (direct):
Cd  0.250  0.250  0.250
Cd  0.750  0.750  0.750
F  0.142  0.068  0.191
F  0.902  0.432  0.309
F  0.812  0.407  0.852
F  0.358  0.309  0.432
F  0.802  0.807  0.193
F  0.598  0.191  0.068
F  0.858  0.932  0.809
F  0.312  0.352  0.907
F  0.929  0.852  0.407
F  0.688  0.648  0.093
F  0.698  0.307  0.693
F  0.642  0.691  0.568
F  0.402  0.809  0.932
F  0.571  0.093  0.648
F  0.071  0.148  0.593
F  0.098  0.568  0.691
F  0.188  0.593  0.148
F  0.000  0.000  0.000
F  0.302  0.693  0.307
F  0.198  0.193  0.807
F  0.500  0.500  0.500
F  0.429  0.907  0.352
Ti  0.344  0.338  0.662
Ti  0.156  0.838  0.162
Ti  0.656  0.662  0.338
Ti  0.844  0.162  0.838

## Properties
Volume   400.51 Å³/cell
Total magnetic moment   1.15 μB/f.u.
E_form (uncorrected)   -2.7862 eV/atom
N(E_F)   0.976 states/eV/atom
Calculated total energy   -152.6 eV/cell